DFT (PBE) results for crystalline Pm3Ga8Os3 at its relaxed geometry.

a = 4.2710 Å, b = 9.8457 Å, c = 12.6566 Å
α = 90.00°, β = 90.00°, γ = 90.00°
With the nearest neighbours (Å) after each atom.
Space group Immm (No. 71)
One atom of each set of equivalent atoms:
1 Pm 0.0000 0.0000 0.0000 x2  12 Ga 3.20-3.31, 4 Os 3.44
2 Pm 0.0000 0.0000 0.3297 x4  4 Os 3.03-3.10, 8 Ga 3.06-3.24
3 Ga 0.0000 0.2866 0.1194 x8  3 Os 2.59-2.62, 3 Ga 2.68-2.78
4 Ga 0.0000 0.3642 0.3309 x8  1 Os 2.54, 4 Ga 2.67-2.78
5 Os 0.0000 0.2257 0.5000 x4  6 Ga 2.54-2.62
6 Os 0.0000 0.5000 0.0000 x2  4 Ga 2.59

Calculated values
The density of states at the Fermi level is 0.383 states/eV/atom. The electronic total energy comes out at -5.566 eV per atom.